Record 1
CaTb2Hg8 (PBE-GGA, relaxed); distance to the lowest polymorph of the same formula = 0 meV per atom; energy relative to the elements = -0.334 eV/atom
1.0
-4.000 2.306 1.790
-4.089 -3.142 -5.090
2.056 -6.015 5.493
Tb Hg Ca
2 8 1
direct
0.781 0.340 0.562
0.219 0.660 0.438
0.147 0.196 0.293
0.966 0.268 0.932
0.402 0.538 0.805
0.676 0.904 0.352
0.853 0.804 0.707
0.598 0.462 0.195
0.324 0.096 0.648
0.034 0.732 0.068
0.500 0.000 0.000

***

Record 2
CaTbHg6 (PBE-GGA, relaxed); distance to the lowest polymorph of the same formula = 22 meV per atom; energy relative to the elements = -0.345 eV/atom
1.0
-1.557 4.341 0.776
-3.561 -0.752 -2.937
-5.111 -3.082 6.986
Hg Tb Ca
6 1 1
direct
0.000 0.500 0.754
0.500 0.000 0.246
0.500 0.000 0.754
0.500 0.500 0.000
0.500 0.500 0.500
0.000 0.500 0.246
0.000 0.000 0.000
0.000 0.000 0.500

***

Record 3
Ca2TbHg (PBE-GGA, relaxed); distance to the lowest polymorph of the same formula = 52 meV per atom; energy relative to the elements = -0.123 eV/atom
1.0
-2.464 4.627 0.606
-0.455 -0.859 4.708
4.227 2.146 0.800
Tb Ca Hg
1 2 1
direct
0.500 0.000 0.000
0.000 0.500 0.000
0.000 0.000 0.500
0.500 0.500 0.500

***

Record 4
CaTb3Hg12 (PBE-GGA, relaxed); energy relative to the elements = -0.333 eV/atom
1.0
4.581 0.000 0.000
0.000 4.581 0.000
0.000 0.000 18.961
Hg Tb Ca
12 3 1
direct
0.500 0.000 0.624
0.500 0.000 0.128
0.500 0.000 0.376
0.500 0.500 0.747
0.000 0.500 0.128
0.000 0.500 0.872
0.500 0.000 0.872
0.000 0.500 0.376
0.500 0.500 0.000
0.500 0.500 0.500
0.500 0.500 0.253
0.000 0.500 0.624
0.000 0.000 0.249
0.000 0.000 0.751
0.000 0.000 0.500
0.000 0.000 0.000

***

The evaluated energy for the records listed, in turn: -1.577, -1.400, -2.357, -1.552 eV/atom.
The evaluated density for the records listed, in turn: 11863, 11588, 5986, 12203 kg/m3.